No. 1
Material: Tb6Cu2Sn
Method: DFT, PBE
State: relaxed

Cell: 8.5688 8.5688 8.5688 Å, 113.65 109.52 105.36°
Closest atoms and distances in Å follow each position.
Element x y z (fractional)
Tb1 0.0375 0.2358 0.8017  1 Cu 2.88, 1 Sn 3.14
Tb2 0.1858 0.2849 0.4706  3 Cu 2.99-3.13, 1 Sn 3.24
Tb3 0.1858 0.7151 0.9009  3 Cu 2.99-3.13, 1 Sn 3.24
Tb4 0.3216 0.0142 0.6926  3 Cu 2.78-2.98
Tb5 0.3216 0.6291 0.3074  3 Cu 2.78-2.98
Tb6 0.4342 0.2358 0.1983  1 Cu 2.88, 1 Sn 3.14
Tb7 0.5658 0.7642 0.8017  1 Cu 2.88, 1 Sn 3.14
Tb8 0.6784 0.3709 0.6926  3 Cu 2.78-2.98
Tb9 0.6784 0.9858 0.3074  3 Cu 2.78-2.98
Tb10 0.8142 0.2849 0.0991  3 Cu 2.99-3.13, 1 Sn 3.24
Tb11 0.8142 0.7151 0.5294  3 Cu 2.99-3.13, 1 Sn 3.24
Tb12 0.9625 0.7642 0.1983  1 Cu 2.88, 1 Sn 3.14
Cu1 0.1186 0.6186 0.5000  1 Cu 2.46
Cu2 0.3505 0.0000 0.3505  8 Tb 2.88-3.13, 1 Cu 2.96
Cu3 0.6495 0.0000 0.6495  8 Tb 2.88-3.13, 1 Cu 2.96
Cu4 0.8814 0.3814 0.5000  1 Cu 2.46
Sn1 0.0000 0.0000 0.0000  8 Tb 3.14-3.24, 2 Cu 3.47
Sn2 0.5000 0.5000 0.0000  12 Tb 3.37-3.71

## Properties
Crystal system: orthorhombic
DFT formation energy, eV per formula unit: -2.6
N(E_F), states/eV/f.u.: 7.49
SG: Immm
Total magnetization, μB per formula unit: 0.000

No. 2
Material: GdZn4Hg
Method: DFT, PBE
State: relaxed

Cell: 5.4562 5.4562 5.4562 Å, 60.00 60.00 60.00°
Closest atoms and distances in Å follow each position.
Element x y z (fractional)
Gd1 0.0000 0.0000 0.0000  12 Zn 3.20, 4 Hg 3.34
Zn1 0.1223 0.6259 0.6259  6 Zn 2.71-2.75
Zn2 0.6259 0.1223 0.6259  6 Zn 2.71-2.75
Zn3 0.6259 0.6259 0.1223  6 Zn 2.71-2.75
Zn4 0.6259 0.6259 0.6259  6 Zn 2.71-2.75
Hg1 0.2500 0.2500 0.2500  12 Zn 3.20, 4 Gd 3.34

## Properties
Crystal system: cubic
DFT formation energy, eV per formula unit: -0.8
N(E_F), states/eV/f.u.: 3.81
SG: F-43m
Total magnetization, μB per formula unit: 7.127

No. 3
Material: Nd2HoGa6
Method: DFT, PBE
State: relaxed

Cell: 7.9913 7.9913 7.9913 Å, 148.15 127.24 62.96°
Closest atoms and distances in Å follow each position.
Element x y z (fractional)
Nd1 0.1298 0.1298 0.0000  10 Ga 2.94-3.19
Nd2 0.8702 0.8702 0.0000  10 Ga 2.94-3.19
Ho1 0.5000 0.0000 0.5000  4 Ga 3.09
Ga1 0.1357 0.3226 0.8132  2 Ga 2.56-2.65
Ga2 0.1930 0.5000 0.6930  3 Ga 2.56-2.74
Ga3 0.4906 0.6774 0.8132  2 Ga 2.56-2.65
Ga4 0.5094 0.3226 0.1868  2 Ga 2.56-2.65
Ga5 0.8070 0.5000 0.3070  3 Ga 2.56-2.74
Ga6 0.8643 0.6774 0.1868  2 Ga 2.56-2.65

## Properties
Crystal system: orthorhombic
DFT formation energy, eV per formula unit: -3.8
N(E_F), states/eV/f.u.: 5.39
SG: Immm
Offset from the most stable computed form, eV per atom: 0.2392
Total magnetization, μB per formula unit: 0.000